[1]
The following is a GGA-PBE calculation of crystalline KLi2Ir at its relaxed geometry, from Alexandria.

Values from the calculation:
The calculation puts the density of states at the Fermi level at 3.365 states/eV/cell. The value obtained for the calculated total energy is -3.187 eV per atom. As for the symmetry: Pmm2. The calculation puts the formation energy at 0.2591 eV/atom.

a = 2.6865 Å, b = 4.2811 Å, c = 8.0206 Å
α = 90.00°, β = 90.00°, γ = 90.00°
Fractional positions:
Ir (0.0000, 0.0000, 0.4053)
K (0.5000, 0.5000, 0.6901)
Li (0.0000, 0.0000, 0.1006)
Li (0.5000, 0.5000, 0.3039)

***

[2]
The following is a GGA-PBE calculation of crystalline Rb2SrBr6N at its relaxed geometry, from Alexandria.

Values from the calculation:
The calculation puts the uncorrected formation energy at -8.1 eV/f.u. The calculation puts the density of states at the Fermi level at 0.000 states/eV/cell. The value obtained for the calculated total energy is -3.012 eV per atom. As for the symmetry: I4/mmm.

a = 7.5298 Å, b = 7.5298 Å, c = 8.3956 Å
α = 63.36°, β = 63.36°, γ = 90.00°
Each line ends with the local moment (μB).
Fractional positions:
Sr (0.0000, 0.0000, 0.0000)  0.00
Br (0.2285, 0.2285, 0.5430)  0.01
Br (0.7715, 0.7715, 0.4570)  0.01
Br (0.2838, 0.2838, 0.0000)  0.01
Br (0.7162, 0.7162, 0.0000)  0.01
Br (0.7162, 0.2838, 0.0000)  0.02
Br (0.2838, 0.7162, 0.0000)  0.02
Rb (0.7500, 0.2500, 0.5000)  0.00
Rb (0.2500, 0.7500, 0.5000)  0.00
N (0.5000, 0.5000, 0.0000)  0.62

***

[3]
The following is a GGA-PBE calculation of crystalline Pa3CrS6 at its relaxed geometry, from Alexandria.

Values from the calculation:
The calculation puts the uncorrected formation energy at -13.3 eV/f.u. The calculation puts the density of states at the Fermi level at 25.026 states/eV/cell. The value obtained for the calculated total energy is -7.620 eV per atom. As for the symmetry: R-3.

a = 7.6943 Å, b = 7.6943 Å, c = 7.6943 Å
α = 99.04°, β = 99.04°, γ = 99.04°
Each line ends with the local moment (μB).
Fractional positions:
Pa (0.3775, 0.8823, 0.7022)  1.22
Pa (0.8823, 0.7022, 0.3775)  1.22
Pa (0.2978, 0.6225, 0.1177)  1.22
Pa (0.7022, 0.3775, 0.8823)  1.22
Pa (0.1177, 0.2978, 0.6225)  1.22
Pa (0.6225, 0.1177, 0.2978)  1.22
Cr (0.0000, 0.0000, 0.0000)  3.35
Cr (0.5000, 0.5000, 0.5000)  -0.22
S (0.3126, 0.9639, 0.0627)  -0.05
S (0.0361, 0.9373, 0.6874)  -0.05
S (0.5714, 0.8032, 0.4378)  -0.04
S (0.9373, 0.6874, 0.0361)  -0.05
S (0.4378, 0.5714, 0.8032)  -0.04
S (0.1968, 0.5622, 0.4286)  -0.04
S (0.8032, 0.4378, 0.5714)  -0.04
S (0.5622, 0.4286, 0.1968)  -0.04
S (0.0627, 0.3126, 0.9639)  -0.05
S (0.4286, 0.1968, 0.5622)  -0.04
S (0.9639, 0.0627, 0.3126)  -0.05
S (0.6874, 0.0361, 0.9373)  -0.05

***

[4]
The following is a GGA-PBE calculation of crystalline NdSnPt3 at its relaxed geometry, from Alexandria.

Values from the calculation:
The calculation puts the density of states at the Fermi level at 3.815 states/eV/cell. The value obtained for the calculated total energy is -5.891 eV per atom. As for the symmetry: Pbam. The calculation puts the formation energy at -0.5121 eV/atom.

a = 5.3606 Å, b = 5.6053 Å, c = 7.6670 Å
α = 90.00°, β = 90.00°, γ = 90.00°
Fractional positions:
Nd (0.5000, 0.0000, 0.0000)
Nd (0.5000, 0.5000, 0.5000)
Sn (0.0000, 0.5000, 0.0000)
Sn (0.0000, 0.0000, 0.5000)
Pt (0.5000, 0.5000, 0.0000)
Pt (0.5000, 0.0000, 0.5000)
Pt (0.0000, 0.5839, 0.3313)
Pt (0.0000, 0.0839, 0.1687)
Pt (0.0000, 0.4161, 0.6687)
Pt (0.0000, 0.9161, 0.8313)

***

[5]
The following is a GGA-PBE calculation of crystalline Sr2In5Sn4 at its relaxed geometry, from Alexandria.

Values from the calculation:
The calculation puts the density of states at the Fermi level at 5.524 states/eV/cell. The value obtained for the calculated total energy is -3.233 eV per atom. As for the symmetry: C2/m. The calculation puts the formation energy at -0.2271 eV/atom.

a = 6.4503 Å, b = 7.2129 Å, c = 9.2164 Å
α = 61.22°, β = 69.52°, γ = 63.44°
Fractional positions:
Sr (0.1941, 0.9159, 0.6958)
Sr (0.8059, 0.0841, 0.3042)
In (0.1562, 0.2690, 0.9117)
In (0.8438, 0.7310, 0.0883)
In (0.0000, 0.5000, 0.5000)
In (0.6631, 0.2690, 0.9117)
In (0.3369, 0.7310, 0.0883)
Sn (0.4428, 0.7390, 0.3754)
Sn (0.5572, 0.2610, 0.6246)
Sn (0.7501, 0.7180, 0.7818)
Sn (0.2499, 0.2820, 0.2182)

***

[6]
The following is a GGA-PBE calculation of crystalline Fe2RuPt at its relaxed geometry, from Alexandria.

Values from the calculation:
The calculation puts the density of states at the Fermi level at 8.548 states/eV/cell. The value obtained for the calculated total energy is -7.004 eV per atom. As for the symmetry: I-42d. The calculation puts the formation energy at 1.0570 eV/atom.

a = 5.2983 Å, b = 5.2983 Å, c = 6.3577 Å
α = 65.37°, β = 65.37°, γ = 90.00°
Fractional positions:
Ru (0.5000, 0.5000, 0.0000)
Ru (0.2500, 0.7500, 0.5000)
Fe (0.6131, 0.1250, 0.2500)
Fe (0.1369, 0.6250, 0.2500)
Fe (0.3750, 0.3869, 0.7500)
Fe (0.8750, 0.8631, 0.7500)
Pt (0.0000, 0.0000, 0.0000)
Pt (0.7500, 0.2500, 0.5000)

***

[7]
The following is a GGA-PBE calculation of crystalline Ba3DyOs2O9 at its relaxed geometry, from Alexandria.

Values from the calculation:
The calculation puts the uncorrected formation energy at -32.9 eV/f.u. The calculation puts the density of states at the Fermi level at 8.024 states/eV/cell. The value obtained for the calculated total energy is -7.355 eV per atom. As for the symmetry: P-3m1.

a = 5.8804 Å, b = 5.8804 Å, c = 7.1986 Å
α = 90.00°, β = 90.00°, γ = 120.00°
Each line ends with the local moment (μB).
Fractional positions:
Ba (0.3333, 0.6667, 0.6655)  0.00
Ba (0.0000, 0.0000, 0.0000)  0.00
Ba (0.6667, 0.3333, 0.3345)  0.00
Dy (0.0000, 0.0000, 0.5000)  0.00
Os (0.3333, 0.6667, 0.1522)  0.35
Os (0.6667, 0.3333, 0.8478)  0.35
O (0.8231, 0.1769, 0.6824)  0.01
O (0.8231, 0.6461, 0.6824)  0.01
O (0.3539, 0.1769, 0.6824)  0.01
O (0.6461, 0.8231, 0.3176)  0.01
O (0.1769, 0.3539, 0.3176)  0.01
O (0.1769, 0.8231, 0.3176)  0.01
O (0.5000, 0.0000, 0.0000)  0.05
O (0.0000, 0.5000, 0.0000)  0.05
O (0.5000, 0.5000, 0.0000)  0.05

***

[8]
The following is a GGA-PBE calculation of crystalline Pu3Re2Si9 at its relaxed geometry, from Alexandria.

Values from the calculation:
The calculation puts the uncorrected formation energy at -5.3 eV/f.u. The calculation puts the density of states at the Fermi level at 40.952 states/eV/cell. The value obtained for the calculated total energy is -8.717 eV per atom. As for the symmetry: P6_3/mmc.

a = 5.9477 Å, b = 5.9477 Å, c = 15.2747 Å
α = 90.00°, β = 90.00°, γ = 120.00°
Each line ends with the local moment (μB).
Fractional positions:
Pu (0.0000, 0.0000, 0.7500)  -5.09
Pu (0.0000, 0.0000, 0.2500)  -5.09
Pu (0.6667, 0.3333, 0.9253)  5.12
Pu (0.3333, 0.6667, 0.0747)  5.12
Pu (0.3333, 0.6667, 0.4253)  5.12
Pu (0.6667, 0.3333, 0.5747)  5.12
Re (0.6667, 0.3333, 0.1550)  0.20
Re (0.3333, 0.6667, 0.8450)  0.20
Re (0.3333, 0.6667, 0.6550)  0.20
Re (0.6667, 0.3333, 0.3450)  0.20
Si (0.5316, 0.0631, 0.7500)  0.00
Si (0.9369, 0.4684, 0.7500)  0.00
Si (0.5316, 0.4684, 0.7500)  0.00
Si (0.4684, 0.9369, 0.2500)  0.00
Si (0.0631, 0.5316, 0.2500)  0.00
Si (0.4684, 0.5316, 0.2500)  0.00
Si (0.1383, 0.2766, 0.9310)  0.00
Si (0.7234, 0.8617, 0.9310)  0.00
Si (0.1383, 0.8617, 0.9310)  0.00
Si (0.8617, 0.7234, 0.0690)  0.00
Si (0.2766, 0.1383, 0.0690)  0.00
Si (0.8617, 0.1383, 0.0690)  0.00
Si (0.8617, 0.7234, 0.4310)  0.00
Si (0.2766, 0.1383, 0.4310)  0.00
Si (0.8617, 0.1383, 0.4310)  0.00
Si (0.1383, 0.2766, 0.5690)  0.00
Si (0.7234, 0.8617, 0.5690)  0.00
Si (0.1383, 0.8617, 0.5690)  0.00

***

[9]
The following is a GGA-PBE calculation of crystalline PrEr2Sb at its relaxed geometry, from Alexandria.

Values from the calculation:
The calculation puts the uncorrected formation energy at -2.2 eV/f.u. The calculation puts the density of states at the Fermi level at 11.118 states/eV/cell. The value obtained for the calculated total energy is -5.064 eV per atom. As for the symmetry: Cmcm.

a = 4.1402 Å, b = 6.5225 Å, c = 9.5414 Å
α = 90.00°, β = 90.00°, γ = 108.50°
Each line ends with the local moment (μB).
Fractional positions:
Pr (0.9449, 0.8896, 0.2500)  0.12
Pr (0.0551, 0.1104, 0.7500)  0.12
Er (0.3621, 0.7243, 0.5418)  0.15
Er (0.6379, 0.2757, 0.4582)  0.15
Er (0.3621, 0.7243, 0.9582)  0.15
Er (0.6379, 0.2757, 0.0418)  0.15
Sb (0.7637, 0.5276, 0.7500)  0.00
Sb (0.2363, 0.4724, 0.2500)  0.00

***

[10]
The following is a GGA-PBE calculation of crystalline KCo2Os at its relaxed geometry, from Alexandria.

Values from the calculation:
The calculation puts the density of states at the Fermi level at 4.028 states/eV/cell. The value obtained for the calculated total energy is -5.441 eV per atom. As for the symmetry: Immm. The calculation puts the formation energy at 1.1938 eV/atom.

a = 6.0054 Å, b = 6.0054 Å, c = 6.0054 Å
α = 155.11°, β = 124.75°, γ = 61.50°
Each line ends with the local moment (μB).
Fractional positions:
Co (0.0461, 0.0461, 0.0000)  1.77
Co (0.4539, 0.4539, 0.0000)  1.77
K (0.7500, 0.2500, 0.5000)  -0.01
Os (0.2500, 0.7500, 0.5000)  0.47

***

[11]
The following is a GGA-PBE calculation of crystalline Mn4PAu at its relaxed geometry, from Alexandria.

Values from the calculation:
The calculation puts the density of states at the Fermi level at 9.635 states/eV/cell. The value obtained for the calculated total energy is -7.097 eV per atom. As for the symmetry: F-43m. The calculation puts the formation energy at 0.4644 eV/atom.

a = 4.8335 Å, b = 4.8335 Å, c = 4.8335 Å
α = 60.00°, β = 60.00°, γ = 60.00°
Each line ends with the local moment (μB).
Fractional positions:
Mn (0.6243, 0.6243, 0.1271)  1.81
Mn (0.6243, 0.1271, 0.6243)  1.81
Mn (0.6243, 0.6243, 0.6243)  1.81
Mn (0.1271, 0.6243, 0.6243)  1.81
P (0.2500, 0.2500, 0.2500)  -0.02
Au (0.0000, 0.0000, 0.0000)  0.09

***

Across the entries above, calculated density takes the values 4.41, 3.39, 7.13, 12.23, 6.14, 9.39, 8.47, 9.63, 8.12, 7.75, 9.31 g cm⁻³, respectively.